{"formula": "Fe2RhW", "functional": "GGA-PBEsol", "state": "relaxed", "polymorph_energy_kcal_per_mol_atoms": 3.15, "dos_at_fermi_per_ev_cell": 5.2, "formation_energy_ev_per_atom": 0.083, "crystal_system": "orthorhombic", "total_magnetization_mub_per_fu": 0.2, "lattice_angstrom": [[2.629, 0.000, 0.000], [0.000, 3.523, 0.000], [0.000, 0.000, 5.289]], "species": ["Fe", "Fe", "Rh", "W"], "frac_coords": [[0.000, 0.000, 0.240], [0.000, 0.000, 0.760], [0.500, 0.500, 0.000], [0.500, 0.500, 0.500]]}


{"formula": "TiNi", "functional": "GGA-PBEsol", "state": "relaxed", "dos_at_fermi_per_ev_cell": 5.6, "formation_energy_ev_per_atom": -0.308, "crystal_system": "tetragonal", "total_magnetization_mub_per_fu": 0.0, "lattice_angstrom": [[3.058, 0.000, 0.000], [0.000, 3.058, 0.000], [0.000, 0.000, 5.608]], "species": ["Ti", "Ti", "Ni", "Ni"], "frac_coords": [[0.250, 0.250, 0.160], [0.750, 0.750, 0.840], [0.250, 0.250, 0.626], [0.750, 0.750, 0.374]]}